(1)
{"formula": "HfCuB", "functional": "GGA-PBE", "state": "relaxed", "vol_a3_per_atom": 12.704, "magmom_total_mub_per_cell": 0.00, "e_form_ev_per_atom": -0.34, "cell": [[-1.7020, 2.5162, 4.4497], [1.7020, -2.5162, 4.4497], [1.7020, 2.5162, -4.4497]], "species": ["Hf", "Hf", "Cu", "Cu", "B", "B"], "fractional_positions": [[0.1971, 0.1971, 0.0000], [0.8029, 0.8029, 0.0000], [0.2588, 0.5000, 0.7588], [0.7412, 0.5000, 0.2412], [0.3995, 0.8995, 0.5000], [0.6005, 0.1005, 0.5000]]}

***

(2)
{"formula": "HfCuB", "functional": "GGA-PBE", "state": "relaxed", "vol_a3_per_atom": 12.923, "magmom_total_mub_per_cell": 0.00, "e_form_ev_per_atom": -0.11, "cell": [[4.2314, 0.0000, 0.0000], [-2.1157, 3.6645, 0.0000], [0.0000, 0.0000, 5.0003]], "species": ["Hf", "Hf", "Cu", "Cu", "B", "B"], "fractional_positions": [[0.3333, 0.6667, 0.2500], [0.6667, 0.3333, 0.7500], [0.0000, 0.0000, 0.0000], [0.0000, 0.0000, 0.5000], [0.3333, 0.6667, 0.7500], [0.6667, 0.3333, 0.2500]]}

***

(3)
{"formula": "HfCuB", "functional": "GGA-PBE", "state": "relaxed", "vol_a3_per_atom": 13.619, "magmom_total_mub_per_cell": 0.00, "e_form_ev_per_atom": -0.26, "cell": [[4.3412, -1.5713, 0.0000], [4.3412, 1.5713, 0.0000], [-1.1283, 0.0000, 5.9895]], "species": ["Hf", "Hf", "Cu", "Cu", "B", "B"], "fractional_positions": [[0.0000, 0.0000, 0.0000], [0.2135, 0.2135, 0.6087], [0.4665, 0.4665, 0.3760], [0.7404, 0.7404, 0.2530], [0.2879, 0.2879, 0.0098], [0.7134, 0.7134, 0.9001]]}

***

(4)
{"formula": "Hf3CuB", "functional": "GGA-PBE", "state": "relaxed", "vol_a3_per_atom": 18.442, "relative_energy_ev_per_atom": 0.0000, "magmom_total_mub_per_cell": 0.00, "e_form_ev_per_atom": -0.03, "cell": [[4.5178, 0.0000, 0.0000], [0.0000, 4.5178, 0.0000], [0.0000, 0.0000, 4.5178]], "species": ["Hf", "Hf", "Hf", "Cu", "B"], "fractional_positions": [[0.0000, 0.0000, 0.5000], [0.0000, 0.5000, 0.0000], [0.5000, 0.0000, 0.0000], [0.5000, 0.5000, 0.5000], [0.0000, 0.0000, 0.0000]]}